1.
This record from the Alexandria database describes crystalline KMgH2 at its relaxed geometry. The functional is PBE.

Structure (extended XYZ):
```
12
Lattice="3.4386 0.0000 0.0000 -1.7193 2.9779 0.0000 0.0000 0.0000 21.3246" Properties=species:S:1:pos:R:3 pbc="T T T"
K 0.0000 0.0000 0.0000
K 0.0000 1.9853 14.2164
K 1.7193 0.9926 7.1082
Mg 0.0000 0.0000 10.6623
Mg 0.0000 1.9853 3.5541
Mg 1.7193 0.9926 17.7705
H 0.0000 0.0000 2.6972
H 0.0000 0.0000 18.6274
H 0.0000 1.9853 11.5192
H 0.0000 1.9853 16.9135
H 1.7193 0.9926 4.4110
H 1.7193 0.9926 9.8054
```

distance to the lowest polymorph of the same formula	127.8	meV/atom
density	1.49	g cm⁻³
space group	R-3m
total energy	-2.161	eV per atom

2.
This record from the Alexandria database describes crystalline K3MgH5 at its relaxed geometry. The functional is PBE.

Structure (extended XYZ):
```
18
Lattice="-3.7364 3.7364 5.9443 3.7364 -3.7364 5.9443 3.7364 3.7364 -5.9443" Properties=species:S:1:pos:R:3 pbc="T T T"
K 5.0834 1.3471 0.0000
K 0.0000 0.0000 2.9722
K 1.3471 2.3893 0.0000
K 2.3893 1.3471 5.9443
K 0.0000 0.0000 8.9165
K -1.3471 2.3893 5.9443
Mg 3.7364 0.0000 2.9722
Mg 0.0000 3.7364 2.9722
H 0.0000 0.0000 0.0000
H 4.7591 -1.0227 1.8332
H 2.7137 -1.0227 4.1111
H 2.7137 1.0227 1.8332
H 4.7591 1.0227 4.1111
H 0.0000 0.0000 5.9443
H -1.0227 2.7137 1.8332
H 1.0227 2.7137 4.1111
H 1.0227 4.7591 1.8332
H -1.0227 4.7591 4.1111
```

density	1.47	g cm⁻³
space group	I4/mcm
total energy	-2.629	eV per atom

3.
This record from the Alexandria database describes crystalline KMg3H at its relaxed geometry. The functional is PBE.

Structure (extended XYZ):
```
5
Lattice="4.9626 0.0000 0.0000 0.0000 4.9626 0.0000 0.0000 0.0000 4.9626" Properties=species:S:1:pos:R:3 pbc="T T T"
K 0.0000 0.0000 0.0000
Mg 0.0000 2.4813 2.4813
Mg 2.4813 0.0000 2.4813
Mg 2.4813 2.4813 0.0000
H 2.4813 2.4813 2.4813
```

density	1.54	g cm⁻³
space group	Pm-3m
total energy	-1.519	eV per atom

4.
This record from the Alexandria database describes crystalline KMg4H8 at its relaxed geometry. The functional is PBE.

Structure (extended XYZ):
```
13
Lattice="0.0000 4.4506 4.4506 4.4506 0.0000 4.4506 4.4506 4.4506 0.0000" Properties=species:S:1:pos:R:3 pbc="T T T"
K 0.0000 0.0000 0.0000
Mg 3.3469 3.3469 3.3469
Mg 5.5543 5.5543 3.3469
Mg 5.5543 3.3469 5.5543
Mg 3.3469 5.5543 5.5543
H 1.3703 1.3703 1.3703
H 3.0803 3.0803 1.3703
H 3.0803 1.3703 3.0803
H 5.3728 3.5284 3.5284
H 1.3703 3.0803 3.0803
H 3.5284 5.3728 3.5284
H 3.5284 3.5284 5.3728
H 5.3728 5.3728 5.3728
```

density	1.36	g cm⁻³
space group	F-43m
total energy	-2.694	eV per atom

5.
This record from the Alexandria database describes crystalline K2MgH at its relaxed geometry. The functional is PBE.

Structure (extended XYZ):
```
16
Lattice="8.1737 0.0000 0.0000 0.0000 8.1737 0.0000 0.0000 0.0000 9.3445" Properties=species:S:1:pos:R:3 pbc="T T T"
K 1.0536 6.1303 1.1681
K 2.0434 1.0536 8.1764
K 2.0434 3.0332 3.5042
K 3.0332 6.1303 5.8403
K 5.1405 2.0434 5.8403
K 6.1303 5.1405 3.5042
K 6.1303 7.1201 8.1764
K 7.1201 2.0434 1.1681
Mg 0.0000 0.0000 4.6722
Mg 0.0000 4.0869 7.0084
Mg 4.0869 0.0000 2.3361
Mg 4.0869 4.0869 0.0000
H 0.0000 0.0000 0.0000
H 0.0000 4.0869 2.3361
H 4.0869 0.0000 7.0084
H 4.0869 4.0869 4.6722
```

distance to the lowest polymorph of the same formula	0.0	meV/atom
density	1.10	g cm⁻³
space group	I-42d
total energy	-1.617	eV per atom

6.
This record from the Alexandria database describes crystalline KMgH2 at its relaxed geometry. The functional is PBE.

Structure (extended XYZ):
```
16
Lattice="6.3493 0.0000 0.0000 0.0000 6.3493 0.0000 0.0000 0.0000 6.3493" Properties=species:S:1:pos:R:3 pbc="T T T"
K 0.0000 0.0000 0.0000
K 0.0000 3.1746 3.1746
K 3.1746 0.0000 3.1746
K 3.1746 3.1746 0.0000
Mg 0.0000 0.0000 3.1746
Mg 0.0000 3.1746 0.0000
Mg 3.1746 0.0000 0.0000
Mg 3.1746 3.1746 3.1746
H 1.5873 1.5873 1.5873
H 1.5873 1.5873 4.7619
H 1.5873 4.7619 1.5873
H 1.5873 4.7619 4.7619
H 4.7619 1.5873 1.5873
H 4.7619 1.5873 4.7619
H 4.7619 4.7619 1.5873
H 4.7619 4.7619 4.7619
```

distance to the lowest polymorph of the same formula	223.3	meV/atom
density	1.70	g cm⁻³
space group	Fm-3m
total energy	-2.066	eV per atom

7.
This record from the Alexandria database describes crystalline KMg2H4 at its relaxed geometry. The functional is PBE.

Structure (extended XYZ):
```
7
Lattice="4.5382 0.0000 0.0000 0.0000 4.5382 0.0000 0.0000 0.0000 6.2920" Properties=species:S:1:pos:R:3 pbc="T T T"
K 0.0000 0.0000 0.0000
Mg 0.0000 2.2691 3.1460
Mg 2.2691 0.0000 3.1460
H 1.1402 1.1402 4.1747
H 1.1402 3.3981 2.1173
H 3.3981 1.1402 2.1173
H 3.3981 3.3981 4.1747
```

density	1.18	g cm⁻³
space group	P-42m
total energy	-2.526	eV per atom

8.
This record from the Alexandria database describes crystalline K2MgH2 at its relaxed geometry. The functional is PBE.

Structure (extended XYZ):
```
10
Lattice="8.4674 0.0000 0.0000 0.0000 8.4674 0.0000 0.0000 0.0000 3.3880" Properties=species:S:1:pos:R:3 pbc="T T T"
K 1.1702 3.0635 0.0000
K 3.0635 7.2972 0.0000
K 5.4039 1.1702 0.0000
K 7.2972 5.4039 0.0000
Mg 0.0000 0.0000 0.0000
Mg 4.2337 4.2337 0.0000
H 1.2253 5.4590 1.6940
H 3.0084 1.2253 1.6940
H 5.4590 7.2421 1.6940
H 7.2421 3.0084 1.6940
```

distance to the lowest polymorph of the same formula	66.1	meV/atom
density	1.43	g cm⁻³
space group	P4/mbm
total energy	-1.865	eV per atom